[1]
This record from Alexandria describes an optimized crystal structure of Cs2BaH6Ru. The functional is PBE.

Its crystal system is trigonal. As for the energy: -35.5 eV for the cell shown.

The structure belongs to space group P-3m1 (No. 164); the cell edges are 6.5700, 6.5700 and 6.3186 Å and the angles 90.00°, 90.00° and 120.00°. The asymmetric unit holds Cs at (0.3333, 0.6667, 0.1236), Ba at (0.0000, 0.0000, 0.5000), H at (0.1281, 0.2561, 0.8444) and Ru at (0.0000, 0.0000, 0.0000).

***

[2]
This record from Alexandria describes an optimized crystal structure of BaYCo. The functional is PBE.

Its crystal system is tetragonal. As for the energy: -29.7 eV for the cell shown.

The structure belongs to space group I4mm (No. 107); the cell edges are 3.573, 3.573 and 13.941 Å and the angles 90.00°, 90.00° and 90.00°. The asymmetric unit holds Ba at (0.000, 0.000, 0.000), Y at (0.000, 0.000, 0.249) and Co at (0.000, 0.000, 0.655).

***

[3]
This record from Alexandria describes an optimized crystal structure of Nd4SiTe. The functional is PBE.

As for the raw formation energy: -4.09 eV/f.u. Its crystal system is monoclinic.

The structure belongs to space group P2_1/m (No. 11); the cell edges are 6.319, 6.473 and 8.665 Å and the angles 90.00°, 90.84° and 90.00°. The asymmetric unit holds Nd at (0.112, 0.250, 0.358), Nd at (0.157, 0.750, 0.061), Nd at (0.367, 0.003, 0.688), Si at (0.219, 0.750, 0.398) and Te at (0.334, 0.250, 0.028).

***

[4]
This record from Alexandria describes an optimized crystal structure of TmPIr2. The functional is PBE.

Its crystal system is orthorhombic. As for the energy: -60.3 eV for the cell shown.

The structure belongs to space group Cmmm (No. 65); the cell edges are 5.563, 7.265 and 3.776 Å and the angles 90.00°, 90.00° and 90.00°. The asymmetric unit holds Tm at (0.000, 0.000, 0.000), P at (0.000, 0.500, 0.500) and Ir at (0.250, 0.250, 0.500).

***

[5]
This record from Alexandria describes an optimized crystal structure of Sc2In3Au. The functional is PBE.

Its crystal system is orthorhombic. As for the energy: -26.6 eV for the cell shown.

The structure belongs to space group Pmm2 (No. 25); the cell edges are 3.298, 4.809 and 8.350 Å and the angles 90.00°, 90.00° and 90.00°. The asymmetric unit holds Sc at (0.000, 0.000, 0.000), Sc at (0.000, 0.500, 0.485), In at (0.500, 0.000, 0.647), In at (0.500, 0.500, 0.166), In at (0.500, 0.500, 0.826) and Au at (0.500, 0.000, 0.321).

***

[6]
This record from Alexandria describes an optimized crystal structure of AlAgTeCl2. The functional is PBE.

As for the raw formation energy: 0.57 eV/f.u. Its crystal system is tetragonal.

The structure belongs to space group P4/mmm (No. 123); the cell edges are 4.844, 4.844 and 5.939 Å and the angles 90.00°, 90.00° and 90.00°. The asymmetric unit holds Al at (0.000, 0.000, 0.000), Ag at (0.000, 0.000, 0.500), Te at (0.500, 0.500, 0.000) and Cl at (0.000, 0.500, 0.500).

***

[7]
This record from Alexandria describes an optimized crystal structure of CsBaGaAs2. The functional is PBE.

Its crystal system is tetragonal. As for the energy: -12.4 eV for the cell shown.

The structure belongs to space group P4/mmm (No. 123); the cell edges are 6.023, 6.023 and 6.624 Å and the angles 90.00°, 90.00° and 90.00°. The asymmetric unit holds Cs at (0.000, 0.000, 0.000), Ba at (0.000, 0.000, 0.500), Ga at (0.500, 0.500, 0.000) and As at (0.000, 0.500, 0.500).

***

[8]
This record from Alexandria describes an optimized crystal structure of Ca2IrI. The functional is PBE.

As for the raw formation energy: -1.42 eV/f.u. Its crystal system is tetragonal.

The structure belongs to space group I-42d (No. 122); the cell edges are 7.740, 7.740 and 8.645 Å and the angles 90.00°, 90.00° and 90.00°. The asymmetric unit holds Ca at (0.195, 0.250, 0.125), Ir at (0.000, 0.000, 0.000) and I at (0.000, 0.000, 0.500).

***

[9]
This record from Alexandria describes an optimized crystal structure of HgPtC2O8. The functional is PBE.

As for the raw formation energy: -6.41 eV/f.u. Its crystal system is monoclinic.

The structure belongs to space group C2/m (No. 12); the cell edges are 7.673, 4.931 and 7.060 Å and the angles 90.00°, 94.11° and 90.00°. The asymmetric unit holds Hg at (0.000, 0.000, 0.000), Pt at (0.000, 0.000, 0.500), C at (0.141, 0.500, 0.286), O at (0.025, 0.266, 0.289), O at (0.208, 0.500, 0.121) and O at (0.242, 0.500, 0.458).

***

[10]
This record from Alexandria describes an optimized crystal structure of PPdSO2. The functional is PBE.

As for the raw formation energy: 0.83 eV/f.u. Its crystal system is tetragonal.

The structure belongs to space group P4/mmm (No. 123); the cell edges are 3.518, 3.518 and 4.960 Å and the angles 90.00°, 90.00° and 90.00°. The asymmetric unit holds P at (0.000, 0.000, 0.000), Pd at (0.500, 0.500, 0.000), S at (0.000, 0.000, 0.500) and O at (0.000, 0.500, 0.500).

***

[11]
This record from Alexandria describes an optimized crystal structure of Pr5HoHg4. The functional is PBE.

Its crystal system is tetragonal. As for the energy: -33.3 eV for the cell shown.

The structure belongs to space group P4/mmm (No. 123); the cell edges are 3.831, 3.831 and 20.407 Å and the angles 90.00°, 90.00° and 90.00°. The asymmetric unit holds Pr at (0.000, 0.000, 0.000), Pr at (0.000, 0.000, 0.191), Pr at (0.000, 0.000, 0.383), Ho at (0.500, 0.500, 0.500), Hg at (0.500, 0.500, 0.096) and Hg at (0.500, 0.500, 0.290).

***

[12]
This record from Alexandria describes an optimized crystal structure of CuNiRh4. The functional is PBE.

Its crystal system is tetragonal. As for the energy: -133.3 eV for the cell shown.

The structure belongs to space group I4_1/amd (No. 141, origin choice 2); the cell edges are 4.944, 4.944 and 17.791 Å and the angles 90.00°, 90.00° and 90.00°. The asymmetric unit holds Cu at (0.000, 0.250, 0.375), Ni at (0.000, 0.250, 0.875) and Rh at (0.000, 0.009, 0.234).